Below is a relaxed Ta2MnCr crystal, with properties calculated at the PBE level.

## Properties
- Density: 13.1 g/cm³
- Total magnetization: 0.01 Bohr magnetons per cell
- Symmetry: No. 10
- Fermi-level density of states: 2.21 states/eV/cell
- DFT formation energy: 0.09 eV/atom

a = 4.128 Å, b = 2.797 Å, c = 5.213 Å
α = 81.02°, β = 90.00°, γ = 90.00°
Element x y z (fractional)
Cr1 0.500 0.250 0.250
Mn1 0.500 0.750 0.750
Ta1 0.000 0.999 0.999
Ta2 0.000 0.501 0.501

Below is a relaxed Hf3BeSb2 crystal, with properties calculated at the PBE level.

## Properties
- Density: 11.0 g/cm³
- Total magnetization: 0.00 Bohr magnetons per cell
- Symmetry: No. 62
- Uncorrected formation energy: -0.34 eV/atom
- Fermi-level density of states: 7.60 states/eV/cell

a = 3.894 Å, b = 10.708 Å, c = 11.417 Å
α = 90.00°, β = 90.00°, γ = 90.00°
Element x y z (fractional)
Hf1 0.250 0.388 0.051
Hf2 0.750 0.612 0.949
Hf3 0.750 0.888 0.449
Hf4 0.250 0.112 0.551
Hf5 0.250 0.735 0.238
Hf6 0.750 0.265 0.762
Hf7 0.750 0.235 0.262
Hf8 0.250 0.765 0.738
Hf9 0.250 0.450 0.379
Hf10 0.750 0.550 0.621
Hf11 0.750 0.950 0.121
Hf12 0.250 0.050 0.879
Be1 0.250 0.133 0.120
Be2 0.750 0.867 0.880
Be3 0.750 0.633 0.380
Be4 0.250 0.367 0.620
Sb1 0.250 0.696 0.495
Sb2 0.750 0.304 0.505
Sb3 0.750 0.196 0.005
Sb4 0.250 0.804 0.995
Sb5 0.250 0.018 0.306
Sb6 0.750 0.982 0.694
Sb7 0.750 0.518 0.194
Sb8 0.250 0.482 0.806

Below is a relaxed Tc2MoPt crystal, with properties calculated at the PBE level.

## Properties
- Density: 13.3 g/cm³
- Total magnetization: 0.00 Bohr magnetons per cell
- Symmetry: No. 47
- Fermi-level density of states: 3.51 states/eV/cell
- DFT formation energy: -0.03 eV/atom

a = 2.754 Å, b = 3.939 Å, c = 5.592 Å
α = 90.00°, β = 90.00°, γ = 90.00°
Element x y z (fractional)
Mo1 0.500 0.500 0.250
Pt1 0.500 0.500 0.750
Tc1 0.000 0.000 0.015
Tc2 0.000 0.000 0.485